A plane-wave DFT calculation with SCAN was carried out for a PBEsol-optimized structure of La4YCl.

```
6
Lattice="0.0000 4.6117 4.6117 4.6117 0.0000 4.6117 4.6117 4.6117 0.0000" Properties=species:S:1:pos:R:3 pbc="T T T"
La 3.4917 3.4917 3.4917
La 5.7318 5.7318 3.4917
La 5.7318 3.4917 5.7318
La 3.4917 5.7318 5.7318
Y 6.9176 6.9176 6.9176
Cl 0.0000 0.0000 0.0000
```

## Properties
Its magnetic moment is 0.64 μB per atom. The symmetry is F-43m, No. 216. The formation energy (no corrections) is 9.0 kJ/mol of atoms. For the density of states at the Fermi level, the calculation gives 0.895 states/eV per atom.



A plane-wave DFT calculation with SCAN was carried out for a PBEsol-optimized structure of CoTeW2.

```
4
Lattice="4.5256 0.0000 0.0000 0.0000 4.5256 0.0000 0.0000 0.0000 3.0086" Properties=species:S:1:pos:R:3 pbc="T T T"
Co 0.0000 0.0000 0.0000
Te 2.2628 2.2628 0.0000
W 0.0000 2.2628 1.5043
W 2.2628 0.0000 1.5043
```

## Properties
Its magnetic moment is 0.26 μB per atom. The symmetry is P4/mmm, No. 123. The formation energy (no corrections) is 80.2 kJ/mol of atoms. For the density of states at the Fermi level, the calculation gives 0.675 states/eV per atom.



A plane-wave DFT calculation with SCAN was carried out for a PBEsol-optimized structure of Ta3Fe.

```
4
Lattice="-1.5842 2.2395 4.4413 1.5842 -2.2395 4.4413 1.5842 2.2395 -4.4413" Properties=species:S:1:pos:R:3 pbc="T T T"
Ta 0.0000 0.0000 0.0000
Ta 1.5842 0.0000 2.3222
Ta 0.0000 2.2395 2.1191
Fe 0.0000 0.0000 4.4413
```

## Properties
The energy of formation comes out at 0.000 eV/atom. Its magnetic moment is 0.16 μB per atom. The symmetry is Immm, No. 71. For the density of states at the Fermi level, the calculation gives 0.800 states/eV per atom.



A plane-wave DFT calculation with SCAN was carried out for a PBEsol-optimized structure of ZnTc2Sb.

```
4
Lattice="-1.5916 2.1534 4.4996 1.5916 -2.1534 4.4996 1.5916 2.1534 -4.4996" Properties=species:S:1:pos:R:3 pbc="T T T"
Zn 0.0000 0.0000 0.0000
Tc 0.0000 0.0000 4.5822
Tc 0.0000 2.1534 2.2747
Sb 1.5916 0.0000 2.3836
```

## Properties
Its magnetic moment is 0.00 μB per atom. The calculation puts the energy above the most stable polymorph in this dataset at 0.031 eV per atom. The symmetry is Imm2, No. 44. The formation energy (no corrections) is 26.4 kJ/mol of atoms. For the density of states at the Fermi level, the calculation gives 0.614 states/eV per atom.



A plane-wave DFT calculation with SCAN was carried out for a PBEsol-optimized structure of InAu5.

```
6
Lattice="2.0556 -6.1241 0.0000 2.0556 6.1241 0.0000 0.0000 0.0000 4.1735" Properties=species:S:1:pos:R:3 pbc="T T T"
In 0.0000 0.0000 0.0000
Au 2.0556 4.0549 2.0867
Au 2.0556 2.0245 0.0000
Au 2.0556 0.0000 2.0867
Au 2.0556 -2.0245 0.0000
Au 2.0556 -4.0549 2.0867
```

## Properties
The energy of formation comes out at -0.090 eV/atom. Its magnetic moment is 0.00 μB per atom. The symmetry is Cmmm, No. 65. For the density of states at the Fermi level, the calculation gives 0.294 states/eV per atom.



A plane-wave DFT calculation with SCAN was carried out for a PBEsol-optimized structure of BaHf2HRh.

```
5
Lattice="5.3436 0.0000 0.0000 0.0000 5.3436 0.0000 0.0000 0.0000 4.8510" Properties=species:S:1:pos:R:3 pbc="T T T"
Ba 0.0000 0.0000 0.0000
Hf 0.0000 2.6718 0.0000
Hf 2.6718 0.0000 0.0000
H 2.6718 2.6718 2.4255
Rh 0.0000 0.0000 2.4255
```

## Properties
As for the total energy: -37.73 eV per atom. Its magnetic moment is 0.15 μB per atom. The symmetry is P4/mmm, No. 123. For the density of states at the Fermi level, the calculation gives 0.944 states/eV per atom.



A plane-wave DFT calculation with SCAN was carried out for a PBEsol-optimized structure of MnTcIr2.

```
4
Lattice="3.7737 0.0000 0.0000 0.0000 3.7737 0.0000 0.0000 0.0000 3.7414" Properties=species:S:1:pos:R:3 pbc="T T T"
Mn 0.0000 0.0000 0.0000
Tc 1.8868 1.8868 0.0000
Ir 0.0000 1.8868 1.8707
Ir 1.8868 0.0000 1.8707
```

## Properties
The energy of formation comes out at -0.350 eV/atom. Its magnetic moment is 0.18 μB per atom. The calculation puts the energy above the most stable polymorph in this dataset at 0.012 eV per atom. The symmetry is P4/mmm, No. 123. For the density of states at the Fermi level, the calculation gives 0.602 states/eV per atom.



A plane-wave DFT calculation with SCAN was carried out for a PBEsol-optimized structure of FeSb2O6.

```
18
Lattice="4.6947 0.0000 0.0000 0.0000 4.6947 0.0000 0.0000 0.0000 9.4504" Properties=species:S:1:pos:R:3 pbc="T T T"
Fe 0.0000 0.0000 0.0000
Fe 2.3474 2.3474 4.7252
Sb 0.0000 0.0000 3.1448
Sb 0.0000 0.0000 6.3056
Sb 2.3474 2.3474 1.5804
Sb 2.3474 2.3474 7.8700
O 0.9087 0.9087 4.7252
O 0.9134 0.9134 1.5832
O 0.9134 0.9134 7.8672
O 1.4339 3.2608 3.1420
O 1.4339 3.2608 6.3084
O 1.4386 3.2561 0.0000
O 3.2561 1.4386 0.0000
O 3.2608 1.4339 3.1420
O 3.2608 1.4339 6.3084
O 3.7813 3.7813 1.5832
O 3.7813 3.7813 7.8672
O 3.7860 3.7860 4.7252
```

## Properties
Its magnetic moment is 0.46 μB per atom. The symmetry is P4_2/mnm, No. 136. The formation energy (no corrections) is -150.2 kJ/mol of atoms. For the density of states at the Fermi level, the calculation gives 0.201 states/eV per atom.